{
  "formula": "Na3PtW",
  "functional": "GGA-PBE",
  "state": "optimized geometry",
  "e_above_lowest_polymorph_kcal_per_mol_atoms": 0.000,
  "formation_enthalpy_0k_mev_per_atom": 1358,
  "lattice_angstrom": [[5.404, 0.000, 0.000], [0.000, 5.404, 0.000], [0.000, 0.000, 5.404]],
  "species": ["Pt", "Na", "Na", "Na", "W"],
  "fractional_positions": [[0.000, 0.000, 0.000], [0.000, 0.500, 0.000], [0.500, 0.000, 0.000], [0.000, 0.000, 0.500], [0.500, 0.500, 0.500]]
}


{
  "formula": "Na2PtW",
  "functional": "GGA-PBE",
  "state": "optimized geometry",
  "e_above_lowest_polymorph_kcal_per_mol_atoms": 0.000,
  "formation_enthalpy_0k_mev_per_atom": 1100,
  "lattice_angstrom": [[8.615, 0.000, 0.000], [0.000, 8.615, 0.000], [4.307, 4.307, 2.524]],
  "species": ["Na", "Na", "Na", "Na", "W", "W", "Pt", "Pt"],
  "fractional_positions": [[0.676, 0.125, 0.250], [0.875, 0.926, 0.750], [0.074, 0.625, 0.250], [0.375, 0.324, 0.750], [0.500, 0.500, 0.000], [0.250, 0.750, 0.500], [0.000, 0.000, 0.000], [0.750, 0.250, 0.500]]
}


{
  "formula": "Na3YPt",
  "functional": "GGA-PBE",
  "state": "optimized geometry",
  "e_above_lowest_polymorph_kcal_per_mol_atoms": 23.894,
  "formation_enthalpy_0k_mev_per_atom": 1469,
  "lattice_angstrom": [[-3.474, 4.394, -2.253], [1.873, -1.377, -5.572], [-4.569, -3.905, -0.571]],
  "species": ["Y", "Na", "Na", "Na", "Pt"],
  "fractional_positions": [[0.000, 0.000, 0.000], [0.000, 0.000, 0.500], [0.500, 0.000, 0.000], [0.000, 0.500, 0.000], [0.500, 0.500, 0.500]]
}